Record 1
A geometry-optimized GaAgSb2N structure. Source: Alexandria, functional PBE.

Summary:
DOS at the Fermi energy = 0.420 states/eV per atom
Energy relative to the elements, uncorrected = 472.6 meV/atom

Lattice parameters (Å, degrees): 4.9461 4.9461 4.0866 90.00 90.00 90.00
Last column: nearest neighbours and their distance in Å.
Space group P4/mmm (No. 123)
Unique sites:
Ga1 0.0000 0.0000 0.0000 (multiplicity 1)  2 N 2.04
Ag1 0.5000 0.5000 0.0000 (multiplicity 1)  8 Sb 3.21, 4 Ga 3.50
Sb1 0.0000 0.5000 0.5000 (multiplicity 2)  2 N 2.47
N1 0.0000 0.0000 0.5000 (multiplicity 1)  2 Ga 2.04

***

Record 2
A geometry-optimized ScGaAg2N structure. Source: Alexandria, functional PBE.

Summary:
DOS at the Fermi energy = 0.658 states/eV per atom
Energy relative to the elements, uncorrected = -95.8 meV/atom

Lattice parameters (Å, degrees): 4.5043 4.5043 4.2332 90.00 90.00 90.00
Last column: nearest neighbours and their distance in Å.
Space group P4/mmm (No. 123)
Unique sites:
Sc1 0.0000 0.0000 0.0000 (multiplicity 1)  2 N 2.12
Ga1 0.5000 0.5000 0.0000 (multiplicity 1)  8 Ag 3.09, 4 Sc 3.19
Ag1 0.0000 0.5000 0.5000 (multiplicity 2)  2 N 2.25
N1 0.0000 0.0000 0.5000 (multiplicity 1)  2 Sc 2.12, 4 Ag 2.25

***

Record 3
A geometry-optimized SrGa2AgN structure. Source: Alexandria, functional PBE.

Summary:
DOS at the Fermi energy = 0.462 states/eV per atom
Energy relative to the elements, uncorrected = 103.7 meV/atom

Lattice parameters (Å, degrees): 4.4520 4.4520 5.0374 90.00 90.00 90.00
Last column: nearest neighbours and their distance in Å.
Space group P4/mmm (No. 123)
Unique sites:
Sr1 0.0000 0.0000 0.0000 (multiplicity 1)  2 N 2.52
Ga1 0.0000 0.5000 0.5000 (multiplicity 2)  2 N 2.23
Ag1 0.5000 0.5000 0.0000 (multiplicity 1)  4 Sr 3.15, 8 Ga 3.36
N1 0.0000 0.0000 0.5000 (multiplicity 1)  4 Ga 2.23

***

Record 4
A geometry-optimized GaTcAg2N structure. Source: Alexandria, functional PBE.

Summary:
DOS at the Fermi energy = 0.686 states/eV per atom
Energy relative to the elements, uncorrected = 526.4 meV/atom

Lattice parameters (Å, degrees): 4.5952 4.5952 3.8562 90.00 90.00 90.00
Last column: nearest neighbours and their distance in Å.
Space group P4/mmm (No. 123)
Unique sites:
Ga1 0.0000 0.0000 0.0000 (multiplicity 1)  8 Ag 3.00, 4 Tc 3.25
Tc1 0.5000 0.5000 0.0000 (multiplicity 1)  2 N 1.93
Ag1 0.0000 0.5000 0.5000 (multiplicity 2)  2 N 2.30
N1 0.5000 0.5000 0.5000 (multiplicity 1)  2 Tc 1.93

***

Record 5
A geometry-optimized GaAgTeN2 structure. Source: Alexandria, functional PBE.

Summary:
DOS at the Fermi energy = 0.534 states/eV per atom
Relative energy among the computed polymorphs = 440 meV per atom
Energy relative to the elements, uncorrected = 1633.4 meV/atom

Lattice parameters (Å, degrees): 4.1309 4.1309 6.4720 90.00 90.00 90.00
Last column: nearest neighbours and their distance in Å.
Space group P4/mmm (No. 123)
Unique sites:
Ga1 0.0000 0.0000 0.0000 (multiplicity 1)  4 Te 2.92
Ag1 0.5000 0.5000 0.5000 (multiplicity 1)  4 N 2.07
Te1 0.5000 0.5000 0.0000 (multiplicity 1)  4 Ga 2.92, 2 Ag 3.24
N1 0.0000 0.5000 0.5000 (multiplicity 2)  2 Ag 2.07

***

Record 6
A geometry-optimized GaAgTeN2 structure. Source: Alexandria, functional PBE.

Summary:
DOS at the Fermi energy = 0.290 states/eV per atom
Relative energy among the computed polymorphs = 0 meV per atom
Energy relative to the elements, uncorrected = 1193.5 meV/atom

Lattice parameters (Å, degrees): 3.9793 3.9793 6.1023 90.00 90.00 90.00
Last column: nearest neighbours and their distance in Å.
Space group P4/mmm (No. 123)
Unique sites:
Ga1 0.0000 0.0000 0.0000 (multiplicity 1)  4 N 1.99
Ag1 0.5000 0.5000 0.5000 (multiplicity 1)  4 Te 2.81
Te1 0.0000 0.0000 0.5000 (multiplicity 1)  4 Ag 2.81, 2 Ga 3.05
N1 0.0000 0.5000 0.0000 (multiplicity 2)  2 Ga 1.99

***

Record 7
A geometry-optimized TiGa2AgN structure. Source: Alexandria, functional PBE.

Summary:
DOS at the Fermi energy = 0.550 states/eV per atom
Energy relative to the elements, uncorrected = -51.1 meV/atom

Lattice parameters (Å, degrees): 4.3705 4.3705 3.9965 90.00 90.00 90.00
Last column: nearest neighbours and their distance in Å.
Space group P4/mmm (No. 123)
Unique sites:
Ti1 0.0000 0.0000 0.0000 (multiplicity 1)  2 N 2.00
Ga1 0.0000 0.5000 0.5000 (multiplicity 2)  2 N 2.19
Ag1 0.5000 0.5000 0.0000 (multiplicity 1)  8 Ga 2.96, 4 Ti 3.09
N1 0.0000 0.0000 0.5000 (multiplicity 1)  2 Ti 2.00, 4 Ga 2.19

***

Record 8
A geometry-optimized TlGaAgN2 structure. Source: Alexandria, functional PBE.

Summary:
DOS at the Fermi energy = 0.205 states/eV per atom
Relative energy among the computed polymorphs = 144 meV per atom
Energy relative to the elements, uncorrected = 1807.8 meV/atom

Lattice parameters (Å, degrees): 4.4356 4.4356 5.6216 90.00 90.00 90.00
Last column: nearest neighbours and their distance in Å.
Space group P4/mmm (No. 123)
Unique sites:
Tl1 0.0000 0.0000 0.0000 (multiplicity 1)  4 N 2.22
Ga1 0.5000 0.5000 0.5000 (multiplicity 1)  4 Ag 3.14
Ag1 0.0000 0.0000 0.5000 (multiplicity 1)  2 Tl 2.81, 4 Ga 3.14
N1 0.0000 0.5000 0.0000 (multiplicity 2)  2 Tl 2.22

***

Record 9
A geometry-optimized TlGaAgN2 structure. Source: Alexandria, functional PBE.

Summary:
DOS at the Fermi energy = 0.438 states/eV per atom
Relative energy among the computed polymorphs = 0 meV per atom
Energy relative to the elements, uncorrected = 1664.3 meV/atom

Lattice parameters (Å, degrees): 4.2091 4.2091 5.8163 90.00 90.00 90.00
Last column: nearest neighbours and their distance in Å.
Space group P4/mmm (No. 123)
Unique sites:
Tl1 0.0000 0.0000 0.0000 (multiplicity 1)  2 Ag 2.91, 4 Ga 2.98
Ga1 0.5000 0.5000 0.0000 (multiplicity 1)  4 Tl 2.98
Ag1 0.0000 0.0000 0.5000 (multiplicity 1)  4 N 2.10
N1 0.0000 0.5000 0.5000 (multiplicity 2)  2 Ag 2.10

***

Record 10
A geometry-optimized Na2Ga9Ag6 structure. Source: Alexandria, functional PBE.

Summary:
DOS at the Fermi energy = 0.611 states/eV per atom
ΔE_f = 0.017 eV/atom

Lattice parameters (Å, degrees): 5.4651 5.4651 13.7044 90.00 90.00 120.00
Last column: nearest neighbours and their distance in Å.
Space group P6/mmm (No. 191)
Unique sites:
Na1 0.0000 0.0000 0.1607 (multiplicity 2)  6 Ag 3.16, 6 Ga 3.51
Ga1 0.0000 0.5000 0.0000 (multiplicity 3)  4 Ga 2.73, 4 Ag 2.79
Ga2 0.0000 0.5000 0.3352 (multiplicity 6)  4 Ga 2.73, 4 Ag 2.75-2.79
Ag1 0.3333 0.6667 0.1676 (multiplicity 4)  6 Ga 2.79
Ag2 0.3333 0.6667 0.5000 (multiplicity 2)  6 Ga 2.75

***

Record 11
A geometry-optimized Na2Ga2Ag structure. Source: Alexandria, functional PBE.

Summary:
DOS at the Fermi energy = 0.378 states/eV per atom
ΔE_f = 0.199 eV/atom
Relative energy among the computed polymorphs = 274 meV per atom

Lattice parameters (Å, degrees): 8.9128 8.9128 2.8751 90.00 90.00 90.00
Last column: nearest neighbours and their distance in Å.
Space group P4/mbm (No. 127)
Unique sites:
Na1 0.1241 0.3759 0.0000 (multiplicity 4)  3 Na 2.88-3.13, 6 Ga 2.90-3.07
Ga1 0.1757 0.6757 0.5000 (multiplicity 4)  2 Ga 2.88, 6 Na 2.90-3.07
Ag1 0.0000 0.0000 0.0000 (multiplicity 2)  2 Ag 2.88

***

Record 12
A geometry-optimized NaGa2Ag5 structure. Source: Alexandria, functional PBE.

Summary:
DOS at the Fermi energy = 0.218 states/eV per atom
ΔE_f = -0.006 eV/atom
Relative energy among the computed polymorphs = 29 meV per atom

Lattice parameters (Å, degrees): 3.7299 7.9986 10.5873 90.00 90.00 90.00
Last column: nearest neighbours and their distance in Å.
Space group Immm (No. 71)
Unique sites:
Na1 0.0000 0.0000 0.0000 (multiplicity 2)  4 Ga 3.15, 8 Ag 3.38
Ga1 0.0000 0.5000 0.2599 (multiplicity 4)  7 Ag 2.60-2.76
Ag1 0.0000 0.2014 0.3578 (multiplicity 8)  3 Ga 2.60-2.76, 2 Ag 2.89
Ag2 0.0000 0.5000 0.0000 (multiplicity 2)  2 Ga 2.75, 8 Ag 2.89

***

Record 13
A geometry-optimized NaGaAg structure. Source: Alexandria, functional PBE.

Summary:
DOS at the Fermi energy = 0.352 states/eV per atom
ΔE_f = -0.028 eV/atom

Lattice parameters (Å, degrees): 8.1903 5.6955 5.3858 90.00 90.44 90.00
Last column: nearest neighbours and their distance in Å.
Space group C2/m (No. 12)
Unique sites:
Na1 0.1667 0.0000 0.4982 (multiplicity 4)  1 Na 2.73, 2 Ga 3.04
Ga1 0.0006 0.5000 0.7467 (multiplicity 4)  2 Ga 2.66-2.73, 4 Ag 2.83-2.85
Ag1 0.2500 0.2500 0.0000 (multiplicity 4)  4 Ga 2.83-2.85, 2 Ag 2.85, 4 Na 3.12-3.13

***

Record 14
A geometry-optimized Na3Ga8Ag structure. Source: Alexandria, functional PBE.

Summary:
DOS at the Fermi energy = 0.443 states/eV per atom
ΔE_f = -0.058 eV/atom

Lattice parameters (Å, degrees): 5.6226 5.6226 26.7412 90.00 90.00 120.00
Last column: nearest neighbours and their distance in Å.
Space group R3m (No. 160, hexagonal axes)
Unique sites:
Na1 0.0000 0.0000 0.0000 (multiplicity 3)  12 Ga 3.28-3.29, 4 Na 3.33-3.47
Na2 0.0000 0.0000 0.1247 (multiplicity 3)  12 Ga 3.17-3.29, 1 Na 3.33, 3 Ag 3.37
Na3 0.0000 0.0000 0.6207 (multiplicity 3)  12 Ga 3.24-3.34, 1 Ag 3.43, 3 Na 3.47
Ga1 0.0000 0.0000 0.3128 (multiplicity 3)  6 Ga 2.77-2.81
Ga2 0.0000 0.0000 0.8119 (multiplicity 3)  6 Ga 2.73
Ga3 0.1671 0.3343 0.3965 (multiplicity 9)  6 Ga 2.73-2.82, 1 Ag 3.04
Ga4 0.1675 0.3350 0.8935 (multiplicity 9)  6 Ga 2.73-2.83
Ag1 0.0000 0.0000 0.4924 (multiplicity 3)  12 Ga 3.04-3.34, 3 Na 3.37

***

Record 15
A geometry-optimized Na2GaAg2 structure. Source: Alexandria, functional PBE.

Summary:
DOS at the Fermi energy = 0.207 states/eV per atom
ΔE_f = 0.144 eV/atom
Relative energy among the computed polymorphs = 212 meV per atom

Lattice parameters (Å, degrees): 8.6530 8.6530 3.0076 90.00 90.00 90.00
Last column: nearest neighbours and their distance in Å.
Space group P4/mbm (No. 127)
Unique sites:
Na1 0.1409 0.3591 0.0000 (multiplicity 4)  6 Ag 2.89-2.99, 2 Na 3.01
Ga1 0.0000 0.0000 0.0000 (multiplicity 2)  2 Ga 3.01, 4 Na 3.34
Ag1 0.1572 0.6572 0.5000 (multiplicity 4)  6 Na 2.89-2.99, 2 Ag 3.01

***

Record 16
A geometry-optimized Na2GaAg structure. Source: Alexandria, functional PBE.

Summary:
DOS at the Fermi energy = 0.166 states/eV per atom
ΔE_f = 0.123 eV/atom

Lattice parameters (Å, degrees): 8.3219 8.3219 5.4715 90.00 90.00 90.00
Last column: nearest neighbours and their distance in Å.
Space group I-42d (No. 122)
Unique sites:
Na1 0.2373 0.2500 0.1250 (multiplicity 8)  2 Na 2.74, 2 Ag 2.95
Ga1 0.0000 0.0000 0.5000 (multiplicity 4)  2 Ag 2.74
Ag1 0.0000 0.0000 0.0000 (multiplicity 4)  2 Ga 2.74, 4 Na 2.95

***

Record 17
A geometry-optimized NaGa3Ag3 structure. Source: Alexandria, functional PBE.

Summary:
DOS at the Fermi energy = 0.328 states/eV per atom
ΔE_f = 0.221 eV/atom
Relative energy among the computed polymorphs = 217 meV per atom

Lattice parameters (Å, degrees): 7.2479 7.2479 7.2479 90.00 90.00 90.00
Last column: nearest neighbours and their distance in Å.
Space group Pm-3n (No. 223)
Unique sites:
Na1 0.0000 0.0000 0.0000 (multiplicity 2)  12 Ga 4.05, 12 Ag 4.05
Ga1 0.0000 0.2500 0.5000 (multiplicity 6)  4 Ag 2.56
Ag1 0.0000 0.5000 0.2500 (multiplicity 6)  4 Ga 2.56

***

Record 18
A geometry-optimized NaGa3Ag3 structure. Source: Alexandria, functional PBE.

Summary:
DOS at the Fermi energy = 0.301 states/eV per atom
ΔE_f = 0.004 eV/atom
Relative energy among the computed polymorphs = 0 meV per atom

Lattice parameters (Å, degrees): 7.2043 7.2043 18.4362 90.00 90.00 120.00
Last column: nearest neighbours and their distance in Å.
Space group R-3 (No. 148, hexagonal axes)
Unique sites:
Na1 0.0000 0.0000 0.1488 (multiplicity 6)  3 Ag 2.90, 6 Ga 3.09-3.19
Ga1 0.0572 0.7929 0.7125 (multiplicity 18)  4 Ag 2.72-2.97, 2 Ga 3.00
Ag1 0.0203 0.7810 0.5655 (multiplicity 18)  4 Ga 2.72-2.97, 4 Ag 2.87-2.93, 1 Na 2.90

***

Record 19
A geometry-optimized Na3Ga8Ag3 structure. Source: Alexandria, functional PBE.

Summary:
DOS at the Fermi energy = 0.348 states/eV per atom
ΔE_f = -0.122 eV/atom

Lattice parameters (Å, degrees): 4.3840 9.8451 12.9842 90.00 90.00 90.00
Last column: nearest neighbours and their distance in Å.
Space group Immm (No. 71)
Unique sites:
Na1 0.0000 0.0000 0.0000 (multiplicity 2)  12 Ga 3.22-3.43, 4 Ag 3.55
Na2 0.0000 0.0000 0.3136 (multiplicity 4)  8 Ga 3.12-3.18, 4 Ag 3.22-3.27
Ga1 0.0000 0.2767 0.1321 (multiplicity 8)  3 Ga 2.65-2.67, 3 Ag 2.78-2.79
Ga2 0.0000 0.3662 0.3243 (multiplicity 8)  4 Ga 2.63-2.67, 1 Ag 2.72
Ag1 0.0000 0.2161 0.5000 (multiplicity 4)  6 Ga 2.72-2.78
Ag2 0.0000 0.5000 0.0000 (multiplicity 2)  4 Ga 2.79, 4 Ag 3.05

***

Record 20
A geometry-optimized NaGa2Ag2 structure. Source: Alexandria, functional PBE.

Summary:
DOS at the Fermi energy = 0.439 states/eV per atom
ΔE_f = -0.008 eV/atom
Relative energy among the computed polymorphs = 66 meV per atom

Lattice parameters (Å, degrees): 4.1192 4.1192 12.6030 90.00 90.00 90.00
Last column: nearest neighbours and their distance in Å.
Space group I4/mmm (No. 139)
Unique sites:
Na1 0.0000 0.0000 0.0000 (multiplicity 2)  8 Ag 3.22
Ga1 0.0000 0.5000 0.2500 (multiplicity 4)  4 Ag 2.72, 4 Ga 2.91
Ag1 0.0000 0.0000 0.3904 (multiplicity 4)  4 Ga 2.72, 1 Ag 2.76

***

Record 21
A geometry-optimized Na2Ga5Ag4 structure. Source: Alexandria, functional PBE.

Summary:
DOS at the Fermi energy = 0.281 states/eV per atom
ΔE_f = -0.070 eV/atom

Lattice parameters (Å, degrees): 12.5110 5.4968 8.6253 90.00 133.40 90.00
Last column: nearest neighbours and their distance in Å.
Space group C2/m (No. 12)
Unique sites:
Na1 0.1931 0.0000 0.1939 (multiplicity 4)  6 Ag 2.90-3.15
Ga1 0.9999 0.2534 0.3412 (multiplicity 8)  3 Ga 2.71-2.79, 4 Ag 2.75-2.96
Ga2 0.0000 0.5000 0.0000 (multiplicity 2)  4 Ag 2.63
Ag1 0.2399 0.5000 0.0683 (multiplicity 4)  3 Ga 2.63-2.75, 1 Na 2.90
Ag2 0.2399 0.5000 0.4103 (multiplicity 4)  3 Ga 2.63-2.75, 1 Na 2.90, 1 Ag 2.95

***

Record 22
A geometry-optimized NaGa3Ag10 structure. Source: Alexandria, functional PBE.

Summary:
DOS at the Fermi energy = 0.504 states/eV per atom
ΔE_f = 0.074 eV/atom

Lattice parameters (Å, degrees): 13.0483 13.0483 13.0483 90.00 90.00 90.00
Last column: nearest neighbours and their distance in Å.
Space group Fm-3m (No. 225)
Unique sites:
Na1 0.2500 0.2500 0.2500 (multiplicity 8)  4 Ag 2.93
Ga1 0.0000 0.0000 0.2310 (multiplicity 24)  8 Ag 2.58-2.65
Ag1 0.0000 0.1731 0.3269 (multiplicity 48)  2 Ga 2.58, 1 Ag 2.84
Ag2 0.1204 0.1204 0.1204 (multiplicity 32)  3 Ga 2.65, 1 Na 2.93

***

Record 23
A geometry-optimized NaGaAg4 structure. Source: Alexandria, functional PBE.

Summary:
DOS at the Fermi energy = 0.312 states/eV per atom
ΔE_f = 0.005 eV/atom
Relative energy among the computed polymorphs = 0 meV per atom

Lattice parameters (Å, degrees): 5.2636 7.1712 7.4657 61.78 71.89 84.14
Last column: nearest neighbours and their distance in Å.
Space group P-1 (No. 2)
Unique sites:
Na1 0.2461 0.1712 0.4268 (multiplicity 2)  9 Ag 2.94-3.24
Ga1 0.2678 0.9997 0.9416 (multiplicity 2)  2 Ga 2.68-2.84, 6 Ag 2.71-2.82
Ag1 0.0278 0.3774 0.7299 (multiplicity 2)  6 Ag 2.76-3.01, 2 Ga 2.82
Ag2 0.1407 0.7131 0.8298 (multiplicity 2)  1 Ga 2.76, 7 Ag 2.81-3.05, 1 Na 3.01
Ag3 0.3677 0.7232 0.4178 (multiplicity 2)  1 Ga 2.71, 4 Ag 2.76-2.92, 1 Na 2.94
Ag4 0.4449 0.3524 0.9393 (multiplicity 2)  2 Ga 2.72-2.77, 6 Ag 2.81-3.01

***

Computed E_tot (eV per atom) in order:
-4.0170, -4.7730, -3.6787, -4.9578, -3.5007, -3.9407, -5.0762, -3.1712, -3.3147, -2.7474, -2.1096, -2.7093, -2.4270, -2.6430, -2.1295, -2.0064, -2.4865, -2.7034, -2.7450, -2.6232, -2.7230, -2.7056, -2.6202
Computed total magnetic moment (Bohr magnetons per cell) in order:
0.0, 0.0, 0.0, 0.1, 3.7, 3.3, 0.0, 2.9, 2.8, 0.0, 0.0, 0.0, 0.0, 0.0, 0.0, 0.0, 0.0, 0.0, 0.0, 0.0, 0.0, 0.0, 0.0